A plane-wave DFT calculation with PBE was carried out for Tl2CrTe after structural relaxation.

The structure in CIF format:
```
data_Tl2CrTe
_cell_length_a 4.1040
_cell_length_b 4.1040
_cell_length_c 23.9314
_cell_angle_alpha 90.00
_cell_angle_beta 90.00
_cell_angle_gamma 120.00
_space_group_name_H-M_alt 'R 3 m'
_space_group_IT_number 160
_space_group_name_Hall 'R 3 -2"'
loop_
_atom_site_label
_atom_site_fract_x
_atom_site_fract_y
_atom_site_fract_z
Tl1 0.0000 0.0000 0.0000
Tl2 0.0000 0.0000 0.2352
Cr1 0.0000 0.0000 0.4940
Te1 0.0000 0.0000 0.7743
```

Calculated values
Total moment in μB per cell: 11.3
Energy relative to the lowest polymorph listed for this composition in kJ/mol of atoms: 1.7
ΔE_f (raw) in eV/atom: 0.15